This record from Alexandria describes a relaxed structure of PuMn3O6. The functional is PBE+U.

Values from the calculation:
VASP energy   -8.663 eV per atom
Density of states at the Fermi level   6.318 states/eV/f.u.

abc: 5.4326 5.5633 9.7499
angles: 90.00 123.79 90.00
Last column: nearest neighbours and their distance in Å.
Space group P2_1/c (No. 14)
Inequivalent atoms, fractional coordinates:
Pu1 0.0000 0.0000 0.0000 [2 per cell]  6 O 2.08-2.17
Mn1 0.2543 0.0417 0.7552 [4 per cell]  4 O 2.12-2.18
Mn2 0.5000 0.0000 0.5000 [2 per cell]  6 O 2.10-2.23
O1 0.0928 0.1851 0.4217 [4 per cell]  1 Pu 2.08, 2 Mn 2.12-2.16
O2 0.2600 0.6781 0.4360 [4 per cell]  1 Pu 2.08, 2 Mn 2.10-2.13
O3 0.3770 0.0881 0.2456 [4 per cell]  3 Mn 2.13-2.23, 1 Pu 2.17